The following is a DFT calculation (PBE) of a geometry-optimized TbCoIr structure.

size of the total moment	0.816	μB/atom
E_form	0.082	eV per atom

a = 6.227 Å, b = 6.227 Å, c = 6.227 Å
α = 90.00°, β = 90.00°, γ = 90.00°
Space group F-43m (No. 216)
One atom of each set of equivalent atoms:
Tb: 0.000 0.000 0.000 x4
Co: 0.000 0.000 0.500 x4
Ir: 0.250 0.250 0.750 x4